{
  "formula": "CsAc2AuO5",
  "functional": "PBE",
  "state": "optimized geometry",
  "e_form_raw_ev_per_atom": -1.98,
  "volume_a3_per_cell": 339,
  "magmom_total_mub_per_fu": 2.01,
  "energy_ev_per_atom": -6.10,
  "lattice": [[-3.6435, 3.6435, 6.3789], [3.6435, -3.6435, 6.3789], [3.6435, 3.6435, -6.3789]],
  "species": ["Cs", "Cs", "Ac", "Ac", "Ac", "Ac", "Au", "Au", "O", "O", "O", "O", "O", "O", "O", "O", "O", "O"],
  "frac_coords": [[0.2500, 0.2500, 0.0000], [0.7500, 0.7500, 0.0000], [0.1792, 0.6792, 0.8583], [0.3208, 0.1792, 0.5000], [0.6792, 0.8208, 0.5000], [0.8208, 0.3208, 0.1417], [0.2500, 0.7500, 0.5000], [0.7500, 0.2500, 0.5000], [0.0000, 0.0000, 0.0000], [0.0107, 0.2550, 0.5000], [0.2450, 0.4893, 0.5000], [0.2550, 0.7550, 0.2443], [0.4893, 0.9893, 0.2443], [0.5000, 0.5000, 0.0000], [0.5107, 0.0107, 0.7557], [0.7450, 0.2450, 0.7557], [0.7550, 0.5107, 0.5000], [0.9893, 0.7450, 0.5000]]
}

=====

{
  "formula": "Cs4Ac3AuO8",
  "functional": "PBE",
  "state": "optimized geometry",
  "e_form_raw_ev_per_atom": -1.98,
  "volume_a3_per_cell": 365,
  "magmom_total_mub_per_fu": 0.00,
  "energy_ev_per_atom": -5.65,
  "lattice": [[6.9534, -3.6925, 0.0000], [6.9534, 3.6925, 0.0000], [-3.6307, 0.0000, 7.1028]],
  "species": ["Cs", "Cs", "Cs", "Cs", "Ac", "Ac", "Ac", "Au", "O", "O", "O", "O", "O", "O", "O", "O"],
  "frac_coords": [[0.0000, 0.0000, 0.0000], [0.0000, 0.5000, 0.0000], [0.5000, 0.0000, 0.0000], [0.5000, 0.5000, 0.0000], [0.0000, 0.0000, 0.5000], [0.0000, 0.5000, 0.5000], [0.5000, 0.0000, 0.5000], [0.5000, 0.5000, 0.5000], [0.2044, 0.2044, 0.6730], [0.2127, 0.2127, 0.2767], [0.2558, 0.6728, 0.6441], [0.3272, 0.7442, 0.3559], [0.6728, 0.2558, 0.6441], [0.7442, 0.3272, 0.3559], [0.7873, 0.7873, 0.7233], [0.7956, 0.7956, 0.3270]]
}

=====

{
  "formula": "CsAc2Au2O6",
  "functional": "PBE",
  "state": "optimized geometry",
  "e_form_raw_ev_per_atom": -1.59,
  "volume_a3_per_cell": 265,
  "magmom_total_mub_per_fu": 1.02,
  "energy_ev_per_atom": -5.72,
  "lattice": [[6.9409, 0.0000, 0.0000], [3.1810, 6.3199, 0.0000], [3.2732, 2.1999, 6.0361]],
  "species": ["Cs", "Ac", "Ac", "Au", "Au", "O", "O", "O", "O", "O", "O"],
  "frac_coords": [[0.0000, 0.0000, 0.0000], [0.3228, 0.0499, 0.3153], [0.6772, 0.9501, 0.6847], [0.3376, 0.5285, 0.7554], [0.6624, 0.4715, 0.2446], [0.0952, 0.7854, 0.6034], [0.3633, 0.2031, 0.8956], [0.4364, 0.8021, 0.6685], [0.5636, 0.1979, 0.3315], [0.6367, 0.7969, 0.1044], [0.9048, 0.2146, 0.3966]]
}

=====

{
  "formula": "CsAc2AuS4",
  "functional": "PBE",
  "state": "optimized geometry",
  "e_form_raw_ev_per_atom": -1.62,
  "volume_a3_per_cell": 490,
  "magmom_total_mub_per_fu": 0.00,
  "energy_ev_per_atom": -5.23,
  "lattice": [[2.1866, -7.4877, 0.0000], [2.1866, 7.4877, 0.0000], [0.0000, 0.0000, 14.9645]],
  "species": ["Cs", "Cs", "Ac", "Ac", "Ac", "Ac", "Au", "Au", "S", "S", "S", "S", "S", "S", "S", "S"],
  "frac_coords": [[0.1115, 0.8885, 0.7500], [0.8885, 0.1115, 0.2500], [0.3671, 0.6329, 0.5624], [0.3671, 0.6329, 0.9376], [0.6329, 0.3671, 0.0624], [0.6329, 0.3671, 0.4376], [0.1571, 0.8429, 0.2500], [0.8429, 0.1571, 0.7500], [0.0000, 0.0000, 0.0000], [0.0000, 0.0000, 0.5000], [0.2588, 0.7412, 0.1064], [0.2588, 0.7412, 0.3936], [0.4300, 0.5700, 0.7500], [0.5700, 0.4300, 0.2500], [0.7412, 0.2588, 0.6064], [0.7412, 0.2588, 0.8936]]
}

=====

{
  "formula": "CsAcSb2Au2",
  "functional": "PBE",
  "state": "optimized geometry",
  "e_form_raw_ev_per_atom": -0.76,
  "volume_a3_per_cell": 204,
  "magmom_total_mub_per_fu": 0.00,
  "energy_ev_per_atom": -4.06,
  "lattice": [[4.8019, 0.0000, 0.0000], [-2.4010, 4.1586, 0.0000], [0.0000, 0.0000, 10.1909]],
  "species": ["Cs", "Ac", "Sb", "Sb", "Au", "Au"],
  "frac_coords": [[0.0000, 0.0000, 0.0000], [0.0000, 0.0000, 0.5000], [0.3333, 0.6667, 0.7158], [0.6667, 0.3333, 0.2842], [0.3333, 0.6667, 0.3038], [0.6667, 0.3333, 0.6962]]
}

=====

{
  "formula": "CsAc2AuSe4",
  "functional": "PBE",
  "state": "optimized geometry",
  "e_form_raw_ev_per_atom": -1.55,
  "volume_a3_per_cell": 544,
  "magmom_total_mub_per_fu": 0.00,
  "energy_ev_per_atom": -4.84,
  "lattice": [[2.2564, -7.7685, 0.0000], [2.2564, 7.7685, 0.0000], [0.0000, 0.0000, 15.5103]],
  "species": ["Cs", "Cs", "Ac", "Ac", "Ac", "Ac", "Au", "Au", "Se", "Se", "Se", "Se", "Se", "Se", "Se", "Se"],
  "frac_coords": [[0.1141, 0.8859, 0.7500], [0.8859, 0.1141, 0.2500], [0.3670, 0.6330, 0.5638], [0.3670, 0.6330, 0.9362], [0.6330, 0.3670, 0.0638], [0.6330, 0.3670, 0.4362], [0.1546, 0.8454, 0.2500], [0.8454, 0.1546, 0.7500], [0.0000, 0.0000, 0.0000], [0.0000, 0.0000, 0.5000], [0.2610, 0.7390, 0.1085], [0.2610, 0.7390, 0.3915], [0.4358, 0.5642, 0.7500], [0.5642, 0.4358, 0.2500], [0.7390, 0.2610, 0.6085], [0.7390, 0.2610, 0.8915]]
}

=====

{
  "formula": "CsAcAuSe2",
  "functional": "PBE",
  "state": "optimized geometry",
  "e_form_raw_ev_per_atom": -1.14,
  "volume_a3_per_cell": 387,
  "magmom_total_mub_per_fu": 0.00,
  "energy_ev_per_atom": -4.18,
  "lattice": [[8.5414, 0.0000, 0.0000], [0.0000, 5.1205, 0.0000], [-1.3915, 0.0000, 8.8399]],
  "species": ["Cs", "Cs", "Ac", "Ac", "Au", "Au", "Se", "Se", "Se", "Se"],
  "frac_coords": [[0.0000, 0.1451, 0.2500], [0.0000, 0.8549, 0.7500], [0.5000, 0.4912, 0.7500], [0.5000, 0.5088, 0.2500], [0.5000, 0.0000, 0.0000], [0.5000, 0.0000, 0.5000], [0.2666, 0.3338, 0.9680], [0.2666, 0.6662, 0.4680], [0.7334, 0.3338, 0.5320], [0.7334, 0.6662, 0.0320]]
}

=====

{
  "formula": "CsAcTe2Au",
  "functional": "PBE",
  "state": "optimized geometry",
  "e_form_raw_ev_per_atom": -0.95,
  "volume_a3_per_cell": 436,
  "magmom_total_mub_per_fu": 0.00,
  "energy_ev_per_atom": -3.85,
  "lattice": [[9.4332, 0.0000, 0.0000], [0.0000, 5.0607, 0.0000], [-1.3122, 0.0000, 9.1397]],
  "species": ["Cs", "Cs", "Ac", "Ac", "Te", "Te", "Te", "Te", "Au", "Au"],
  "frac_coords": [[0.0000, 0.1767, 0.2500], [0.0000, 0.8233, 0.7500], [0.5000, 0.4933, 0.7500], [0.5000, 0.5067, 0.2500], [0.2630, 0.3105, 0.9684], [0.2630, 0.6895, 0.4684], [0.7370, 0.3105, 0.5316], [0.7370, 0.6895, 0.0316], [0.5000, 0.0000, 0.0000], [0.5000, 0.0000, 0.5000]]
}

=====

{
  "formula": "Ac6CuAu5",
  "functional": "PBE",
  "state": "optimized geometry",
  "volume_a3_per_cell": 357,
  "magmom_total_mub_per_fu": 0.00,
  "formation_energy_mev_per_atom": -659,
  "energy_ev_per_atom": -4.42,
  "lattice": [[4.7643, -8.2821, 0.0000], [4.7643, 8.2821, 0.0000], [-3.1826, 0.0000, 4.5181]],
  "species": ["Ac", "Ac", "Ac", "Ac", "Ac", "Ac", "Cu", "Au", "Au", "Au", "Au", "Au"],
  "frac_coords": [[0.0831, 0.4150, 0.7493], [0.2484, 0.2484, 0.2489], [0.4150, 0.0831, 0.7493], [0.5850, 0.9169, 0.2507], [0.7516, 0.7516, 0.7511], [0.9169, 0.5850, 0.2507], [0.0000, 0.0000, 0.5000], [0.1637, 0.8363, 0.0000], [0.3328, 0.6672, 0.5000], [0.5000, 0.5000, 0.0000], [0.6672, 0.3328, 0.5000], [0.8363, 0.1637, 0.0000]]
}

=====

{
  "formula": "Ac4Cu3Au5",
  "functional": "PBE",
  "state": "optimized geometry",
  "volume_a3_per_cell": 322,
  "magmom_total_mub_per_fu": 0.00,
  "formation_energy_mev_per_atom": -449,
  "energy_ev_per_atom": -4.21,
  "lattice": [[5.3651, -2.4512, 0.0000], [5.3651, 2.4512, 0.0000], [-2.0121, 0.0000, 12.2378]],
  "species": ["Ac", "Ac", "Ac", "Ac", "Cu", "Cu", "Cu", "Au", "Au", "Au", "Au", "Au"],
  "frac_coords": [[0.1106, 0.1106, 0.3931], [0.2798, 0.2798, 0.1410], [0.7202, 0.7202, 0.8590], [0.8894, 0.8894, 0.6069], [0.0000, 0.0000, 0.0000], [0.4219, 0.4219, 0.7943], [0.5781, 0.5781, 0.2057], [0.2037, 0.2037, 0.6763], [0.4145, 0.4145, 0.3997], [0.5000, 0.5000, 0.0000], [0.5855, 0.5855, 0.6003], [0.7963, 0.7963, 0.3237]]
}

=====

{
  "formula": "Ac2CuAu2",
  "functional": "PBE",
  "state": "optimized geometry",
  "volume_a3_per_cell": 275,
  "magmom_total_mub_per_fu": 0.00,
  "formation_energy_mev_per_atom": -650,
  "energy_ev_per_atom": -4.42,
  "lattice": [[5.8172, -2.2056, 0.0000], [5.8172, 2.2056, 0.0000], [-5.8133, 0.0000, 10.7134]],
  "species": ["Ac", "Ac", "Ac", "Ac", "Cu", "Cu", "Au", "Au", "Au", "Au"],
  "frac_coords": [[0.0807, 0.0807, 0.3895], [0.3110, 0.3110, 0.8585], [0.6890, 0.6890, 0.1415], [0.9193, 0.9193, 0.6105], [0.4114, 0.4114, 0.1824], [0.5886, 0.5886, 0.8176], [0.0524, 0.0524, 0.9135], [0.3567, 0.3567, 0.3779], [0.6433, 0.6433, 0.6221], [0.9476, 0.9476, 0.0865]]
}

=====

{
  "formula": "AcCu6Au6",
  "functional": "PBE",
  "state": "optimized geometry",
  "volume_a3_per_cell": 220,
  "magmom_total_mub_per_fu": 0.00,
  "formation_energy_mev_per_atom": -227,
  "energy_ev_per_atom": -3.95,
  "lattice": [[-2.6503, 4.5497, 4.5553], [2.6503, -4.5497, 4.5553], [2.6503, 4.5497, -4.5553]],
  "species": ["Ac", "Cu", "Cu", "Cu", "Cu", "Cu", "Cu", "Au", "Au", "Au", "Au", "Au", "Au"],
  "frac_coords": [[0.0000, 0.0000, 0.0000], [0.0000, 0.0000, 0.5000], [0.0000, 0.5000, 0.0000], [0.2355, 0.7355, 0.5000], [0.5000, 0.0000, 0.0000], [0.5000, 0.5000, 0.5000], [0.7645, 0.2645, 0.5000], [0.2015, 0.5000, 0.7015], [0.3410, 0.3410, 0.0000], [0.3468, 0.0000, 0.3468], [0.6532, 0.0000, 0.6532], [0.6590, 0.6590, 0.0000], [0.7985, 0.5000, 0.2985]]
}

=====

What did the tenth record say?
{
  "formula": "Ac4Cu3Au5",
  "functional": "PBE",
  "state": "optimized geometry",
  "volume_a3_per_cell": 322,
  "magmom_total_mub_per_fu": 0.00,
  "formation_energy_mev_per_atom": -449,
  "energy_ev_per_atom": -4.21,
  "lattice": [[5.3651, -2.4512, 0.0000], [5.3651, 2.4512, 0.0000], [-2.0121, 0.0000, 12.2378]],
  "species": ["Ac", "Ac", "Ac", "Ac", "Cu", "Cu", "Cu", "Au", "Au", "Au", "Au", "Au"],
  "frac_coords": [[0.1106, 0.1106, 0.3931], [0.2798, 0.2798, 0.1410], [0.7202, 0.7202, 0.8590], [0.8894, 0.8894, 0.6069], [0.0000, 0.0000, 0.0000], [0.4219, 0.4219, 0.7943], [0.5781, 0.5781, 0.2057], [0.2037, 0.2037, 0.6763], [0.4145, 0.4145, 0.3997], [0.5000, 0.5000, 0.0000], [0.5855, 0.5855, 0.6003], [0.7963, 0.7963, 0.3237]]
}